## Zr2InTc2 (PBE)

Data for Zr2InTc2 after structural relaxation.

Calculated values
- Formation enthalpy at 0 K: -0.060 eV per atom
- E_tot: -8.173 eV per atom
- Size of the total moment: 0.0 μB per formula unit

```
data_Zr2InTc2
_chemical_formula_sum 'Zr4 In2 Tc4'
_cell_length_a 7.456
_cell_length_b 7.456
_cell_length_c 3.493
_cell_angle_alpha 90.00
_cell_angle_beta 90.00
_cell_angle_gamma 90.00
_symmetry_space_group_name_H-M 'P 4/m b m'
_symmetry_Int_Tables_number 127
_symmetry_space_group_name_Hall '-P 4 2ab'
loop_
_atom_site_label
_atom_site_fract_x
_atom_site_fract_y
_atom_site_fract_z
_atom_site_occupancy
Zr1 0.158 0.342 0.000 1
In1 0.000 0.000 0.500 1
Tc1 0.142 0.642 0.500 1
```

***

## ZrInTc (PBE)

Data for ZrInTc after structural relaxation.

Calculated values
- Formation enthalpy at 0 K: 0.077 eV per atom
- E_tot: -7.141 eV per atom
- Size of the total moment: 0.0 μB per formula unit

```
data_ZrInTc
_chemical_formula_sum 'Zr1 In1 Tc1'
_cell_length_a 3.2558
_cell_length_b 3.2558
_cell_length_c 6.6790
_cell_angle_alpha 90.00
_cell_angle_beta 90.00
_cell_angle_gamma 120.00
_symmetry_space_group_name_H-M 'P 3 m 1'
_symmetry_Int_Tables_number 156
loop_
_symmetry_equiv_pos_as_xyz
'x,y,z'
'-y,x-y,z'
'-x+y,-x,z'
'-y,-x,z'
'-x+y,y,z'
'x,x-y,z'
loop_
_atom_site_label
_atom_site_fract_x
_atom_site_fract_y
_atom_site_fract_z
_atom_site_occupancy
Zr1 0.0000 0.0000 0.0000 1
In1 0.6667 0.3333 0.3874 1
Tc1 0.3333 0.6667 0.7153 1
```

***

## Zr3InTc (PBE)

Data for Zr3InTc after structural relaxation.

Calculated values
- Formation enthalpy at 0 K: -0.163 eV per atom
- E_tot: -7.912 eV per atom
- Size of the total moment: 0.0 μB per formula unit

```
data_Zr3InTc
_chemical_formula_sum 'Zr9 In3 Tc3'
_cell_length_a 6.806
_cell_length_b 6.806
_cell_length_c 6.806
_cell_angle_alpha 90.00
_cell_angle_beta 90.00
_cell_angle_gamma 90.00
_symmetry_space_group_name_H-M 'P m -3 m'
_symmetry_Int_Tables_number 221
_symmetry_space_group_name_Hall '-P 4 2 3'
loop_
_atom_site_label
_atom_site_fract_x
_atom_site_fract_y
_atom_site_fract_z
_atom_site_occupancy
Zr1 0.000 0.000 0.000 1
Zr2 0.266 0.266 0.266 1
In1 0.000 0.000 0.500 1
Tc1 0.000 0.500 0.500 1
```

***

## ZrIn2Tc2 (PBE)

Data for ZrIn2Tc2 after structural relaxation.

Calculated values
- Formation enthalpy at 0 K: 0.187 eV per atom
- E_tot: -6.765 eV per atom
- Size of the total moment: 0.5 μB per formula unit

```
data_ZrIn2Tc2
_chemical_formula_sum 'Zr2 In4 Tc4'
_cell_length_a 7.759
_cell_length_b 7.759
_cell_length_c 3.181
_cell_angle_alpha 90.00
_cell_angle_beta 90.00
_cell_angle_gamma 90.00
_symmetry_space_group_name_H-M 'P 4/m b m'
_symmetry_Int_Tables_number 127
_symmetry_space_group_name_Hall '-P 4 2ab'
loop_
_atom_site_label
_atom_site_fract_x
_atom_site_fract_y
_atom_site_fract_z
_atom_site_occupancy
Zr1 0.000 0.000 0.000 1
In1 0.181 0.319 0.500 1
Tc1 0.112 0.612 0.000 1
```

***

## InTe4 (PBE)

Data for InTe4 after structural relaxation.

Calculated values
- E_form (uncorrected): 0.252 eV per atom
- E_tot: -2.809 eV per atom
- Size of the total moment: 0.0 μB per formula unit

```
data_InTe4
_chemical_formula_sum 'In2 Te8'
_cell_length_a 7.024
_cell_length_b 7.024
_cell_length_c 7.024
_cell_angle_alpha 90.00
_cell_angle_beta 90.00
_cell_angle_gamma 90.00
_symmetry_space_group_name_H-M 'I m -3 m'
_symmetry_Int_Tables_number 229
_symmetry_space_group_name_Hall '-I 4 2 3'
loop_
_atom_site_label
_atom_site_fract_x
_atom_site_fract_y
_atom_site_fract_z
_atom_site_occupancy
In1 0.000 0.000 0.000 1
Te1 0.250 0.250 0.250 1
```

***

## InTe2 (PBE)

Data for InTe2 after structural relaxation.

Calculated values
- E_form (uncorrected): 0.047 eV per atom
- E_tot: -2.961 eV per atom
- Size of the total moment: 0.0 μB per formula unit

```
data_InTe2
_chemical_formula_sum 'In2 Te4'
_cell_length_a 3.211
_cell_length_b 5.890
_cell_length_c 10.008
_cell_angle_alpha 90.00
_cell_angle_beta 90.00
_cell_angle_gamma 90.00
_symmetry_space_group_name_H-M 'I m m m'
_symmetry_Int_Tables_number 71
_symmetry_space_group_name_Hall '-I 2 2'
loop_
_atom_site_label
_atom_site_fract_x
_atom_site_fract_y
_atom_site_fract_z
_atom_site_occupancy
In1 0.000 0.000 0.000 1
Te1 0.000 0.000 0.356 1
```

***

Copy entry 4 word for word.
## ZrIn2Tc2 (PBE)

Data for ZrIn2Tc2 after structural relaxation.

Calculated values
- Formation enthalpy at 0 K: 0.187 eV per atom
- E_tot: -6.765 eV per atom
- Size of the total moment: 0.5 μB per formula unit

```
data_ZrIn2Tc2
_chemical_formula_sum 'Zr2 In4 Tc4'
_cell_length_a 7.759
_cell_length_b 7.759
_cell_length_c 3.181
_cell_angle_alpha 90.00
_cell_angle_beta 90.00
_cell_angle_gamma 90.00
_symmetry_space_group_name_H-M 'P 4/m b m'
_symmetry_Int_Tables_number 127
_symmetry_space_group_name_Hall '-P 4 2ab'
loop_
_atom_site_label
_atom_site_fract_x
_atom_site_fract_y
_atom_site_fract_z
_atom_site_occupancy
Zr1 0.000 0.000 0.000 1
In1 0.181 0.319 0.500 1
Tc1 0.112 0.612 0.000 1
```

***

- Among the records above, which one has the lowest E_tot?
  Zr2InTc2

***

- Which of these has the lowest E_tot?
  Zr2InTc2